{
  "formula": "Cd3BiMo",
  "functional": "GGA-PBE",
  "state": "relaxed",
  "lattice_angstrom": [[5.806, 0.000, 0.000], [0.000, 5.806, 0.000], [0.000, 0.000, 5.806]],
  "species": ["Cd", "Mo", "Cd", "Cd", "Bi"],
  "fractional_positions": [[0.000, 0.500, 0.000], [0.500, 0.500, 0.500], [0.000, 0.000, 0.500], [0.500, 0.000, 0.000], [0.000, 0.000, 0.000]],
  "polymorph_energy_kj_per_mol_atoms": 30.75,
  "spacegroup": "Pm-3m, No. 221",
  "density_g_cm3": 5.4,
  "e_form_kj_per_mol_fu": 636,
  "vol_a3_per_atom": 39.1,
  "magnetic_moment_mub_per_cell": 5.2,
  "energy_ev_per_atom": -2.1724
}